1.
A geometry-optimized NaMn2Cl5 structure, computed with GGA-PBE.

Computed properties:
As for the space-group type: Cmcm. The raw formation energy comes out at -1192 meV/atom. The total energy is -4.80 eV per atom.

Cell lengths 4.314, 7.305, 15.735 Å; angles 90.00, 90.00, 107.17 degrees
Positions (direct):
1 Mn 0.216 0.433 0.895
2 Cl 0.944 0.888 0.377
3 Cl 0.796 0.591 0.572
4 Cl 0.204 0.409 0.072
5 Mn 0.784 0.567 0.105
6 Cl 0.796 0.591 0.928
7 Cl 0.056 0.112 0.877
8 Na 0.071 0.143 0.250
9 Cl 0.204 0.409 0.428
10 Mn 0.784 0.567 0.395
11 Mn 0.216 0.433 0.605
12 Cl 0.944 0.888 0.123
13 Cl 0.297 0.594 0.750
14 Na 0.929 0.857 0.750
15 Cl 0.703 0.406 0.250
16 Cl 0.056 0.112 0.623



2.
A geometry-optimized Na6Mn3Cl14 structure, computed with GGA-PBE.

Computed properties:
As for the space-group type: P3. The raw formation energy comes out at -1408 meV/atom. The total energy is -4.07 eV per atom.

Cell lengths 6.500, 10.443, 10.443 Å; angles 120.00, 90.00, 90.00 degrees
Positions (direct):
1 Cl 0.527 0.814 0.282
2 Na 0.817 0.060 0.460
3 Cl 0.044 0.779 0.816
4 Na 0.817 0.540 0.600
5 Cl 0.044 0.037 0.221
6 Cl 0.527 0.468 0.186
7 Na 0.312 0.964 0.751
8 Mn 0.322 0.667 0.333
9 Cl 0.116 0.865 0.484
10 Mn 0.890 0.000 0.000
11 Mn 0.406 0.333 0.667
12 Na 0.817 0.400 0.940
13 Na 0.312 0.788 0.036
14 Cl 0.116 0.619 0.135
15 Cl 0.530 0.000 0.000
16 Cl 0.116 0.516 0.381
17 Cl 0.568 0.559 0.838
18 Cl 0.527 0.718 0.532
19 Na 0.312 0.249 0.212
20 Cl 0.568 0.162 0.721
21 Cl 0.047 0.333 0.667
22 Cl 0.044 0.184 0.963
23 Cl 0.568 0.279 0.441



3.
A geometry-optimized NaMnCl3 structure, computed with GGA-PBE.

Computed properties:
The energy above the most stable polymorph in this dataset comes out at 0.8975 eV per atom. As for the space-group type: Pm-3m. The raw formation energy comes out at -473 meV/atom. The total energy is -3.68 eV per atom.

Cell lengths 4.975, 4.975, 4.975 Å; angles 90.00, 90.00, 90.00 degrees
Positions (direct):
1 Cl 0.500 0.000 0.000
2 Cl 0.000 0.500 0.000
3 Na 0.000 0.000 0.000
4 Mn 0.500 0.500 0.500
5 Cl 0.000 0.000 0.500



- What is the raw formation energy in the first record?
  -1192 meV/atom



- Which value of raw formation energy does entry 3 give?
  -473 meV/atom



- Which value of raw formation energy does entry 2 give?
  -1408 meV/atom



- The lowest raw formation energy belongs to which entry?
  Na6Mn3Cl14